VASP calculation (PBE) on Pr4Pd6O19 after structural relaxation.

abc: 7.804 7.804 7.804
angles: 109.47 109.47 109.47
Site moments in Bohr magnetons follow the coordinates.
Fractional positions:
1 Pr 0.000 0.000 0.677  0.00
2 Pr 0.000 0.677 0.000  0.00
3 Pr 0.323 0.323 0.323  0.00
4 Pr 0.677 0.000 0.000  0.00
5 Pd 0.340 0.500 0.840  0.11
6 Pd 0.660 0.500 0.160  0.11
7 Pd 0.160 0.660 0.500  0.11
8 Pd 0.840 0.340 0.500  0.11
9 Pd 0.500 0.840 0.340  0.11
10 Pd 0.500 0.160 0.660  0.11
11 O 0.660 0.000 0.660  0.10
12 O 0.340 0.000 0.340  0.10
13 O 0.340 0.340 0.000  0.10
14 O 0.660 0.660 0.000  0.10
15 O 0.000 0.660 0.660  0.10
16 O 0.000 0.340 0.340  0.10
17 O 0.000 0.000 0.000  0.02
18 O 0.278 0.241 0.605  0.04
19 O 0.722 0.327 0.963  0.04
20 O 0.636 0.673 0.395  0.04
21 O 0.963 0.722 0.327  0.04
22 O 0.364 0.759 0.037  0.04
23 O 0.605 0.278 0.241  0.04
24 O 0.037 0.364 0.759  0.04
25 O 0.395 0.636 0.673  0.04
26 O 0.759 0.037 0.364  0.04
27 O 0.327 0.963 0.722  0.04
28 O 0.241 0.605 0.278  0.04
29 O 0.673 0.395 0.636  0.04

Output
formation energy without anion corrections: -1.394 eV/atom
density: 6.83 Mg/m³
symmetry: I23, No. 197
D(E_F): 0.924 states/eV per atom
magnetic moment: 0.064 μB/atom